# Tb3NdTmTh GGA-PBE relaxed
data_Tb3NdTmTh
_space_group_name_H-M_alt 'P 1 21/m 1'
_space_group_IT_number 11
_cell_length_a 7.985
_cell_length_b 5.064
_cell_length_c 10.121
_cell_angle_alpha 90.00
_cell_angle_beta 108.75
_cell_angle_gamma 90.00
loop_
_space_group_symop_operation_xyz
'x,y,z'
'-x,-y,-z'
'-x,y+1/2,-z'
'x,-y+1/2,z'
loop_
_atom_site_label
_atom_site_type_symbol
_atom_site_fract_x
_atom_site_fract_y
_atom_site_fract_z
Tb1 Tb 0.171 0.250 0.044
Tb2 Tb 0.176 0.250 0.544
Tb3 Tb 0.177 0.750 0.293
Nd1 Nd 0.169 0.750 0.793
Tm1 Tm 0.499 0.750 0.128
Th1 Th 0.498 0.250 0.378
# ΔE_f in kJ/mol of atoms: 2.6
# Total magnetization in μB per cell: 0.00